No. 1
## InHg2As (PBE)

Data for crystalline InHg2As at its relaxed geometry.

Structure (CIF):
```
data_InHg2As
_chemical_formula_sum 'In2 Hg4 As2'
_cell_length_a 3.8015
_cell_length_b 4.2423
_cell_length_c 12.7352
_cell_angle_alpha 90.00
_cell_angle_beta 90.00
_cell_angle_gamma 90.00
_space_group_name_H-M_alt 'I m m 2'
_space_group_IT_number 44
_space_group_name_Hall 'I 2 -2'
loop_
_atom_site_label
_atom_site_fract_x
_atom_site_fract_y
_atom_site_fract_z
In1 0.0000 0.0000 0.0000
Hg1 0.0000 0.0000 0.3994
Hg2 0.0000 0.5000 0.2046
As1 0.0000 0.5000 0.6817
```

No. 2
# InHgAs3 (PBE, optimized geometry)
data_InHgAs3
_chemical_formula_sum 'In1 Hg1 As3'
_cell_length_a 5.2770
_cell_length_b 5.2770
_cell_length_c 5.2770
_cell_angle_alpha 90.00
_cell_angle_beta 90.00
_cell_angle_gamma 90.00
_space_group_name_H-M_alt 'P m -3 m'
_space_group_IT_number 221
_space_group_name_Hall '-P 4 2 3'
loop_
_atom_site_label
_atom_site_fract_x
_atom_site_fract_y
_atom_site_fract_z
In1 0.0000 0.0000 0.0000
Hg1 0.5000 0.5000 0.5000
As1 0.0000 0.5000 0.5000
# Offset from the most stable computed form, eV/f.u.: 0.00

No. 3
# InHgAs (PBE, optimized geometry)
data_InHgAs
_chemical_formula_sum 'In1 Hg1 As1'
_cell_length_a 5.0991
_cell_length_b 5.0991
_cell_length_c 3.1921
_cell_angle_alpha 90.00
_cell_angle_beta 90.00
_cell_angle_gamma 120.00
_space_group_name_H-M_alt 'P 3 m 1'
_space_group_IT_number 156
_space_group_name_Hall 'P 3 -2"'
loop_
_atom_site_label
_atom_site_fract_x
_atom_site_fract_y
_atom_site_fract_z
In1 0.0000 0.0000 0.0000
Hg1 0.3333 0.6667 0.4966
As1 0.6667 0.3333 0.4873
# Offset from the most stable computed form, eV/f.u.: 0.53

No. 4
# InHgAs2 (PBE, optimized geometry)
data_InHgAs2
_chemical_formula_sum 'In1 Hg1 As2'
_cell_length_a 3.7119
_cell_length_b 3.7119
_cell_length_c 8.0038
_cell_angle_alpha 90.00
_cell_angle_beta 90.00
_cell_angle_gamma 90.00
_space_group_name_H-M_alt 'P 4/m m m'
_space_group_IT_number 123
_space_group_name_Hall '-P 4 2'
loop_
_atom_site_label
_atom_site_fract_x
_atom_site_fract_y
_atom_site_fract_z
In1 0.0000 0.0000 0.0000
Hg1 0.0000 0.0000 0.5000
As1 0.5000 0.5000 0.1606
# Offset from the most stable computed form, eV/f.u.: 0.64

No. 5
# InHgAs2 (PBE, optimized geometry)
data_InHgAs2
_chemical_formula_sum 'In1 Hg1 As2'
_cell_length_a 5.0416
_cell_length_b 5.0416
_cell_length_c 3.5265
_cell_angle_alpha 90.00
_cell_angle_beta 90.00
_cell_angle_gamma 90.00
_space_group_name_H-M_alt 'P 4/m m m'
_space_group_IT_number 123
_space_group_name_Hall '-P 4 2'
loop_
_atom_site_label
_atom_site_fract_x
_atom_site_fract_y
_atom_site_fract_z
In1 0.0000 0.0000 0.0000
Hg1 0.5000 0.5000 0.0000
As1 0.0000 0.5000 0.5000
# Offset from the most stable computed form, eV/f.u.: 1.20

No. 6
## K2InHgAs (PBE)

Data for crystalline K2InHgAs at its relaxed geometry.

Structure (CIF):
```
data_K2InHgAs
_chemical_formula_sum 'K2 In1 Hg1 As1'
_cell_length_a 6.4046
_cell_length_b 6.4046
_cell_length_c 5.4420
_cell_angle_alpha 90.00
_cell_angle_beta 90.00
_cell_angle_gamma 90.00
_space_group_name_H-M_alt 'P 4/m m m'
_space_group_IT_number 123
_space_group_name_Hall '-P 4 2'
loop_
_atom_site_label
_atom_site_fract_x
_atom_site_fract_y
_atom_site_fract_z
K1 0.0000 0.5000 0.0000
In1 0.0000 0.0000 0.5000
Hg1 0.5000 0.5000 0.5000
As1 0.0000 0.0000 0.0000
```

| no. | formation energy (eV/f.u.) |
| --- | --- |
| 1 | 0.46 |
| 2 | 4.49 |
| 3 | 0.53 |
| 4 | 0.76 |
| 5 | 1.33 |
| 6 | -0.75 |